First-principles (PBE) data for a geometry-optimized Tb7Dy2Tl2 structure, as listed in Alexandria.

Calculated values
calculated formation energy: -0.02 eV per atom

Cell: 3.648 19.887 9.691 Å, 90.00 90.00 90.00°
Space group Imm2 (No. 44)
Inequivalent atoms, fractional coordinates:
Tb  0.000  0.000  0.000
Tb  0.000  0.131  0.532
Tb  0.000  0.340  0.340
Tb  0.000  0.366  0.711
Dy  0.000  0.000  0.347
Dy  0.000  0.500  0.177
Tl  0.000  0.244  0.053